Entry 1:
# HoPbIO6

HoPbIO6 after structural relaxation (GGA-PBE, the Alexandria database).

Lattice parameters (Å, degrees): 5.6655 5.6655 10.3002 90.00 90.00 120.00
Space group P-31c (No. 163)
Unique sites:
Ho  0.3333  0.6667  0.2500 [2 per cell]
Pb  0.0000  0.0000  0.0000 [2 per cell]
I  0.3333  0.6667  0.7500 [2 per cell]
O  0.0464  0.3974  0.6448 [12 per cell]

Results
As for the total magnetization: 0.00 Bohr magnetons per cell. As for the raw total energy: -5.845 eV/atom.

Entry 2:
# La2Si4Ni5

La2Si4Ni5 after structural relaxation (GGA-PBE, the Alexandria database).

Lattice parameters (Å, degrees): 5.5761 9.8055 12.9426 90.00 90.00 90.00
Space group Fmmm (No. 69)
Unique sites:
La  0.0000  0.0000  0.1390 [8 per cell]
Si  0.0000  0.1539  0.3696 [16 per cell]
Ni  0.0000  0.0000  0.5000 [4 per cell]
Ni  0.2500  0.2500  0.0000 [8 per cell]
Ni  0.2500  0.2500  0.2500 [8 per cell]

Results
As for the total magnetization: 0.00 Bohr magnetons per cell. As for the raw total energy: -6.161 eV/atom.

Entry 3:
# Rb3Pa3MnS8

Rb3Pa3MnS8 after structural relaxation (GGA-PBE, the Alexandria database).

Lattice parameters (Å, degrees): 7.9650 7.9650 23.6632 90.00 90.00 120.00
Space group R-3m (No. 166, hexagonal axes)
Unique sites:
Rb  0.0000  0.5000  0.0000 [9 per cell]
Pa  0.0000  0.5000  0.5000 [9 per cell]
Mn  0.0000  0.0000  0.5000 [3 per cell]
S  0.0000  0.0000  0.2324 [6 per cell]
S  0.0087  0.5044  0.2281 [18 per cell]

Results
As for the total magnetization: 27.27 Bohr magnetons per cell. As for the raw total energy: -6.267 eV/atom.

Entry 4:
# SiBiAu4

SiBiAu4 after structural relaxation (GGA-PBE, the Alexandria database).

Lattice parameters (Å, degrees): 4.5696 19.9856 5.6823 90.00 90.00 90.00
Space group Cmcm (No. 63)
Unique sites:
Si  0.0000  0.1085  0.2500 [4 per cell]
Bi  0.0000  0.3635  0.2500 [4 per cell]
Au  0.0000  0.0000  0.0000 [4 per cell]
Au  0.0000  0.2076  0.5037 [8 per cell]
Au  0.0000  0.4418  0.7500 [4 per cell]

Results
As for the total magnetization: 0.00 Bohr magnetons per cell. As for the raw total energy: -3.708 eV/atom.

Entry 5:
# GdAlGaCu

GdAlGaCu after structural relaxation (GGA-PBE, the Alexandria database).

Lattice parameters (Å, degrees): 6.6614 6.6614 6.6614 90.00 90.00 90.00
Space group F-43m (No. 216)
Unique sites:
Gd  0.0000  0.0000  0.0000 [4 per cell]
Al  0.0000  0.0000  0.5000 [4 per cell]
Ga  0.2500  0.2500  0.2500 [4 per cell]
Cu  0.2500  0.2500  0.7500 [4 per cell]

Results
For the formation energy, the calculation gives -0.334 eV per atom. As for the total magnetization: 27.58 Bohr magnetons per cell.

Entry 6:
# ZnReRu

ZnReRu after structural relaxation (GGA-PBE, the Alexandria database).

Lattice parameters (Å, degrees): 2.7620 2.7620 6.6156 90.00 90.00 120.00
Space group P3m1 (No. 156)
Unique sites:
Zn  0.0000  0.0000  0.0000 [1 per cell]
Re  0.6667  0.3333  0.3499 [1 per cell]
Ru  0.3333  0.6667  0.6606 [1 per cell]

Results
For the formation energy, the calculation gives 0.035 eV per atom. As for the total magnetization: 0.00 Bohr magnetons per cell.